# PmHo2InO (PBE-GGA, relaxed)
data_PmHo2InO
_cell_length_a 4.756
_cell_length_b 4.756
_cell_length_c 4.953
_cell_angle_alpha 90.00
_cell_angle_beta 90.00
_cell_angle_gamma 90.00
_space_group_name_H-M_alt 'P 1'
_space_group_IT_number 1
loop_
_space_group_symop_operation_xyz
'x,y,z'
loop_
_atom_site_label
_atom_site_fract_x
_atom_site_fract_y
_atom_site_fract_z
Pm1 0.000 0.000 0.000
Ho1 0.000 0.500 0.500
Ho2 0.500 0.000 0.500
In1 0.500 0.500 0.000
O1 0.000 0.000 0.500
# symmetry	P4/mmm (123)
# DOS at the Fermi energy	1.8	states/eV per cell
# energy relative to the elements, uncorrected	-1.417	eV/atom